No. 1
A geometry-optimized MgAgAu4 structure, computed with PBE-GGA.

For the magnetization, the calculation gives 0.00 μB/atom. As for the final energy: -38.22 eV/cell. The calculation puts the formation energy at -0.259 eV per atom. The calculation puts the excess energy over the best structure of this formula in the dataset at 0.000 eV per atom.

It has space group C2/m (No. 12), with a = 5.0548 Å, b = 8.9092 Å, c = 5.0656 Å, α = 90.00°, β = 109.77° and γ = 90.00°. The inequivalent atoms are Mg at (0.0000, 0.0000, 0.0000), Ag at (0.0000, 0.5000, 0.5000), Au at (0.0000, 0.1629, 0.5000) and Au at (0.0000, 0.3346, 0.0000).

***

No. 2
A geometry-optimized Rb2Ni2C structure, computed with PBE-GGA.

For the magnetization, the calculation gives 0.17 μB/atom. As for the final energy: -35.61 eV/cell. The calculation puts the formation energy at 0.984 eV per atom. The calculation puts the excess energy over the best structure of this formula in the dataset at 0.101 eV per atom.

It has space group P4/mbm (No. 127), with a = 5.7612 Å, b = 5.7612 Å, c = 5.6297 Å, α = 90.00°, β = 90.00° and γ = 90.00°. The inequivalent atoms are Rb at (0.1822, 0.3178, 0.0000), Ni at (0.2377, 0.7377, 0.5000) and C at (0.0000, 0.0000, 0.5000).

***

No. 3
A geometry-optimized Ag2PtAu structure, computed with PBE-GGA.

For the magnetization, the calculation gives 0.00 μB/atom. As for the final energy: -15.07 eV/cell. The calculation puts the formation energy at -0.011 eV per atom. The calculation puts the excess energy over the best structure of this formula in the dataset at 0.008 eV per atom.

It has space group P4/mmm (No. 123), with a = 2.8664 Å, b = 2.8664 Å, c = 8.3709 Å, α = 90.00°, β = 90.00° and γ = 90.00°. The inequivalent atoms are Ag at (0.0000, 0.0000, 0.2435), Pt at (0.5000, 0.5000, 0.0000) and Au at (0.5000, 0.5000, 0.5000).

***

No. 4
A geometry-optimized La3Nb5N12 structure, computed with PBE-GGA.

The formation energy from raw total energies comes out at -18.58 eV per formula unit. For the magnetization, the calculation gives 0.01 μB/atom. As for the final energy: -1468.93 eV/cell.

It has space group Ia-3d (No. 230), with a = 13.2967 Å, b = 13.2967 Å, c = 13.2967 Å, α = 90.00°, β = 90.00° and γ = 90.00°. The inequivalent atoms are La at (0.0000, 0.2500, 0.1250), Nb at (0.0000, 0.0000, 0.0000), Nb at (0.0000, 0.2500, 0.3750) and N at (0.0310, 0.0502, 0.6483).

***

No. 5
A geometry-optimized GaHRh3 structure, computed with PBE-GGA.

For the magnetization, the calculation gives 0.00 μB/atom. As for the final energy: -115.91 eV/cell. The calculation puts the excess energy over the best structure of this formula in the dataset at 0.184 eV per atom.

It has space group Cmcm (No. 63), with a = 7.9075 Å, b = 5.9828 Å, c = 5.2441 Å, α = 90.00°, β = 90.00° and γ = 90.00°. The inequivalent atoms are Ga at (0.0000, 0.1376, 0.2500), H at (0.0000, 0.2840, 0.7500), Rh at (0.0000, 0.5000, 0.0000) and Rh at (0.2116, 0.1683, 0.7500).

***

No. 6
A geometry-optimized Dy6Ge2SbS3 structure, computed with PBE-GGA.

The formation energy from raw total energies comes out at -17.76 eV per formula unit. For the magnetization, the calculation gives 0.00 μB/atom. As for the final energy: -142.23 eV/cell.

It has space group C2/m (No. 12), with a = 17.7589 Å, b = 4.0972 Å, c = 8.1703 Å, α = 90.00°, β = 102.58° and γ = 90.00°. The inequivalent atoms are Dy at (0.0020, 0.0000, 0.2662), Dy at (0.1681, 0.5000, 0.5828), Dy at (0.1726, 0.5000, 0.0919), Ge at (0.1667, 0.0000, 0.3344), Sb at (0.0000, 0.5000, 0.0000), S at (0.0000, 0.5000, 0.5000) and S at (0.1653, 0.0000, 0.8336).

***

No. 7
A geometry-optimized MgScMn2 structure, computed with PBE-GGA.

For the magnetization, the calculation gives 1.42 μB/atom. As for the final energy: -25.42 eV/cell. The calculation puts the formation energy at 0.211 eV per atom.

It has space group Pmmm (No. 47), with a = 3.0097 Å, b = 3.8189 Å, c = 6.0102 Å, α = 90.00°, β = 90.00° and γ = 90.00°. The inequivalent atoms are Mg at (0.0000, 0.0000, 0.0000), Sc at (0.0000, 0.0000, 0.5000) and Mn at (0.5000, 0.5000, 0.2593).

***

No. 8
A geometry-optimized CrP3W structure, computed with PBE-GGA.

For the magnetization, the calculation gives 0.76 μB/atom. As for the final energy: -33.52 eV/cell. The calculation puts the formation energy at 1.057 eV per atom. The calculation puts the excess energy over the best structure of this formula in the dataset at 0.000 eV per atom.

It has space group Pm-3m (No. 221), with a = 4.4040 Å, b = 4.4040 Å, c = 4.4040 Å, α = 90.00°, β = 90.00° and γ = 90.00°. The inequivalent atoms are Cr at (0.0000, 0.0000, 0.0000), P at (0.0000, 0.0000, 0.5000) and W at (0.5000, 0.5000, 0.5000).

***

No. 9
A geometry-optimized TbPmTlSi structure, computed with PBE-GGA.

The formation energy from raw total energies comes out at -1.36 eV per formula unit. For the magnetization, the calculation gives 0.00 μB/atom. As for the final energy: -74.11 eV/cell.

It has space group F-43m (No. 216), with a = 7.4269 Å, b = 7.4269 Å, c = 7.4269 Å, α = 90.00°, β = 90.00° and γ = 90.00°. The inequivalent atoms are Tb at (0.0000, 0.0000, 0.0000), Pm at (0.0000, 0.0000, 0.5000), Tl at (0.2500, 0.2500, 0.7500) and Si at (0.2500, 0.2500, 0.2500).

***

No. 10
A geometry-optimized Ca2PrBi structure, computed with PBE-GGA.

For the magnetization, the calculation gives 0.00 μB/atom. As for the final energy: -40.88 eV/cell. The calculation puts the formation energy at -0.240 eV per atom. The calculation puts the excess energy over the best structure of this formula in the dataset at 0.148 eV per atom.

It has space group R3m (No. 160, hexagonal axes), with a = 5.3485 Å, b = 5.3485 Å, c = 17.0325 Å, α = 90.00°, β = 90.00° and γ = 120.00°. The inequivalent atoms are Ca at (0.0000, 0.0000, 0.0000), Ca at (0.0000, 0.0000, 0.2399), Pr at (0.0000, 0.0000, 0.7742) and Bi at (0.0000, 0.0000, 0.5454).

***

No. 11
A geometry-optimized KRb6Au2 structure, computed with PBE-GGA.

For the magnetization, the calculation gives 0.00 μB/atom. As for the final energy: -58.18 eV/cell. The calculation puts the formation energy at -0.121 eV per atom.

It has space group Immm (No. 71), with a = 12.6564 Å, b = 12.9598 Å, c = 13.1580 Å, α = 90.00°, β = 90.00° and γ = 90.00°. The inequivalent atoms are K at (0.0000, 0.0000, 0.0000), K at (0.0000, 0.0000, 0.5000), Rb at (0.0000, 0.2344, 0.2250), Rb at (0.1832, 0.5000, 0.1730), Rb at (0.1913, 0.3267, 0.5000), Au at (0.0000, 0.3849, 0.0000) and Au at (0.0000, 0.5000, 0.3883).

***

No. 12
A geometry-optimized GdScCd4 structure, computed with PBE-GGA.

For the magnetization, the calculation gives 1.29 μB/atom. As for the final energy: -101.38 eV/cell. The calculation puts the formation energy at -0.212 eV per atom.

It has space group F-43m (No. 216), with a = 8.2656 Å, b = 8.2656 Å, c = 8.2656 Å, α = 90.00°, β = 90.00° and γ = 90.00°. The inequivalent atoms are Gd at (0.0000, 0.0000, 0.0000), Sc at (0.2500, 0.2500, 0.7500) and Cd at (0.1248, 0.1248, 0.3752).

***

No. 13
A geometry-optimized Ti4Cu3Tc structure, computed with PBE-GGA.

For the magnetization, the calculation gives 0.00 μB/atom. As for the final energy: -55.70 eV/cell. The calculation puts the formation energy at -0.184 eV per atom.

It has space group P4/mmm (No. 123), with a = 4.3988 Å, b = 4.3988 Å, c = 6.0632 Å, α = 90.00°, β = 90.00° and γ = 90.00°. The inequivalent atoms are Ti at (0.0000, 0.5000, 0.2480), Cu at (0.0000, 0.0000, 0.0000), Cu at (0.0000, 0.0000, 0.5000), Cu at (0.5000, 0.5000, 0.5000) and Tc at (0.5000, 0.5000, 0.0000).

***

No. 14
A geometry-optimized WBr8 structure, computed with PBE-GGA.

The formation energy from raw total energies comes out at 1.64 eV per formula unit. For the magnetization, the calculation gives 0.18 μB/atom. As for the final energy: -49.40 eV/cell.

It has space group I4/mmm (No. 139), with a = 9.4664 Å, b = 9.4664 Å, c = 7.8905 Å, α = 90.00°, β = 90.00° and γ = 90.00°. The inequivalent atoms are W at (0.0000, 0.0000, 0.0000), Br at (0.0000, 0.2568, 0.0000) and Br at (0.1468, 0.1468, 0.5000).

***

No. 15
A geometry-optimized LiBeRh3 structure, computed with PBE-GGA.

For the magnetization, the calculation gives 0.00 μB/atom. As for the final energy: -24.04 eV/cell. The calculation puts the formation energy at 0.731 eV per atom. The calculation puts the excess energy over the best structure of this formula in the dataset at 0.581 eV per atom.

It has space group Pm-3m (No. 221), with a = 4.0601 Å, b = 4.0601 Å, c = 4.0601 Å, α = 90.00°, β = 90.00° and γ = 90.00°. The inequivalent atoms are Li at (0.0000, 0.0000, 0.0000), Be at (0.5000, 0.5000, 0.5000) and Rh at (0.0000, 0.0000, 0.5000).

***

No. 16
A geometry-optimized DyGe2Pd6 structure, computed with PBE-GGA.

For the magnetization, the calculation gives 0.00 μB/atom. As for the final energy: -49.59 eV/cell. The calculation puts the formation energy at -0.511 eV per atom.

It has space group P6/mmm (No. 191), with a = 5.5322 Å, b = 5.5322 Å, c = 6.5798 Å, α = 90.00°, β = 90.00° and γ = 120.00°. The inequivalent atoms are Dy at (0.0000, 0.0000, 0.0000), Ge at (0.3333, 0.6667, 0.5000) and Pd at (0.0000, 0.5000, 0.2078).

***

No. 17
A geometry-optimized SrZrOs2 structure, computed with PBE-GGA.

For the magnetization, the calculation gives 0.00 μB/atom. As for the final energy: -58.74 eV/cell. The calculation puts the formation energy at 0.830 eV per atom. The calculation puts the excess energy over the best structure of this formula in the dataset at 0.544 eV per atom.

It has space group I-4m2 (No. 119), with a = 4.0867 Å, b = 4.0867 Å, c = 9.4762 Å, α = 90.00°, β = 90.00° and γ = 90.00°. The inequivalent atoms are Sr at (0.0000, 0.0000, 0.0000), Zr at (0.0000, 0.5000, 0.7500), Os at (0.0000, 0.0000, 0.5000) and Os at (0.0000, 0.5000, 0.2500).

***

No. 18
A geometry-optimized Hf3Fe8W structure, computed with PBE-GGA.

For the magnetization, the calculation gives 1.04 μB/atom. As for the final energy: -339.76 eV/cell. The calculation puts the formation energy at -0.228 eV per atom.

It has space group R3m (No. 160, hexagonal axes), with a = 4.8830 Å, b = 4.8830 Å, c = 23.9347 Å, α = 90.00°, β = 90.00° and γ = 120.00°. The inequivalent atoms are Hf at (0.0000, 0.0000, 0.0000), Hf at (0.0000, 0.0000, 0.1270), Hf at (0.0000, 0.0000, 0.6221), Fe at (0.0000, 0.0000, 0.3121), Fe at (0.0000, 0.0000, 0.8126), Fe at (0.0003, 0.5002, 0.5610), Fe at (0.0008, 0.5004, 0.0633) and W at (0.0000, 0.0000, 0.4985).

***

No. 19
A geometry-optimized NaTl12Cd6 structure, computed with PBE-GGA.

For the magnetization, the calculation gives 0.00 μB/atom. As for the final energy: -103.83 eV/cell. The calculation puts the formation energy at 0.031 eV per atom. The calculation puts the excess energy over the best structure of this formula in the dataset at 0.010 eV per atom.

It has space group R-3 (No. 148, hexagonal axes), with a = 13.0243 Å, b = 13.0243 Å, c = 11.3664 Å, α = 90.00°, β = 90.00° and γ = 120.00°. The inequivalent atoms are Na at (0.0000, 0.0000, 0.0000), Tl at (0.0451, 0.5711, 0.6252), Tl at (0.0838, 0.9050, 0.2514) and Cd at (0.0144, 0.7798, 0.5128).

***

No. 20
A geometry-optimized SbIrPb2 structure, computed with PBE-GGA.

The formation energy from raw total energies comes out at 0.39 eV per formula unit. For the magnetization, the calculation gives 0.00 μB/atom. As for the final energy: -60.04 eV/cell.

It has space group R3m (No. 160, hexagonal axes), with a = 3.7114 Å, b = 3.7114 Å, c = 27.0474 Å, α = 90.00°, β = 90.00° and γ = 120.00°. The inequivalent atoms are Sb at (0.0000, 0.0000, 0.0000), Ir at (0.0000, 0.0000, 0.7205), Pb at (0.0000, 0.0000, 0.2295) and Pb at (0.0000, 0.0000, 0.4601).